# 1
VASP calculation (PBE) on a geometry-optimized NaLi2Sn structure.

a = 3.4498 Å, b = 3.4498 Å, c = 7.7049 Å
α = 90.00°, β = 90.00°, γ = 90.00°
With the nearest neighbours (Å) after each atom.
Positions (direct):
Na (0.5000, 0.5000, 0.0000)  8 Li 3.32, 4 Na 3.45
Sn (0.5000, 0.5000, 0.5000)  8 Li 2.92
Li (0.0000, 0.0000, 0.7084)  4 Sn 2.92, 1 Li 3.21
Li (0.0000, 0.0000, 0.2916)  4 Sn 2.92, 1 Li 3.21

## Properties
* density of states at the Fermi level: 1.5 states/eV per cell
* energy relative to the elements: -196 meV per atom
* space-group type: P4/mmm (123)
* energy: -2.484 eV per atom
* calculated volume: 22.9 Å³/atom

# 2
VASP calculation (PBE) on a geometry-optimized Nb12GaSn3 structure.

a = 5.3071 Å, b = 5.3199 Å, c = 10.5503 Å
α = 90.00°, β = 90.00°, γ = 90.00°
With the nearest neighbours (Å) after each atom.
Positions (direct):
Nb (0.5000, 0.0000, 0.3780)  2 Nb 2.57-2.65
Nb (0.5000, 0.0000, 0.8728)  2 Nb 2.65-2.68, 2 Sn 2.96
Nb (0.7495, 0.5000, 0.0000)  2 Nb 2.65-2.66, 2 Sn 2.95
Nb (0.7603, 0.5000, 0.5000)  2 Nb 2.54-2.76
Nb (0.0000, 0.7509, 0.2569)  2 Nb 2.65-2.67, 1 Ga 2.89
Nb (0.0000, 0.7509, 0.7431)  2 Nb 2.65-2.67, 1 Ga 2.89
Nb (0.5000, 0.0000, 0.1272)  2 Nb 2.65-2.68, 2 Sn 2.96
Nb (0.5000, 0.0000, 0.6220)  2 Nb 2.57-2.65
Nb (0.2505, 0.5000, 0.0000)  2 Nb 2.65-2.66, 2 Sn 2.95
Nb (0.2397, 0.5000, 0.5000)  2 Nb 2.54-2.76
Nb (0.0000, 0.2491, 0.2569)  2 Nb 2.65-2.67, 1 Ga 2.89
Nb (0.0000, 0.2491, 0.7431)  2 Nb 2.65-2.67, 1 Ga 2.89
Ga (0.0000, 0.0000, 0.5000)  12 Nb 2.89-2.95
Sn (0.5000, 0.5000, 0.2498)  12 Nb 2.95-2.98
Sn (0.5000, 0.5000, 0.7502)  12 Nb 2.95-2.98
Sn (0.0000, 0.0000, 0.0000)  12 Nb 2.97-3.02

## Properties
* density of states at the Fermi level: 27.1 states/eV per cell
* energy relative to the elements: -185 meV per atom
* space-group type: Pmmm (47)
* energy: -8.677 eV per atom
* calculated volume: 18.6 Å³/atom